! PBEsol Cd2AsCl2, optimized geometry; values from VASP
! Total magnetic moment ... 0.00 Bohr magnetons per cell
! Space group ... P2_1/c, No. 14
! Crystal system ... monoclinic
! ρ ... 4846 kg/m3
! Calculated total energy ... -2.95 eV/atom
! Formation energy without anion corrections ... -0.651 eV per atom
&SYSTEM
  ibrav = 0, nat = 20, ntyp = 3
/
ATOMIC_SPECIES
Cd 112.41 Cd.upf
As 74.92 As.upf
Cl 35.45 Cl.upf
ATOMIC_POSITIONS crystal
Cd 0.043 0.198 0.211
Cd 0.043 0.302 0.711
Cd 0.442 0.581 0.247
Cd 0.442 0.919 0.747
Cd 0.558 0.081 0.253
Cd 0.558 0.419 0.753
Cd 0.957 0.698 0.289
Cd 0.957 0.802 0.789
As 0.071 0.619 0.061
As 0.071 0.881 0.561
As 0.929 0.119 0.439
As 0.929 0.381 0.939
Cl 0.243 0.529 0.695
Cl 0.243 0.971 0.195
Cl 0.420 0.193 0.916
Cl 0.420 0.307 0.416
Cl 0.580 0.693 0.584
Cl 0.580 0.807 0.084
Cl 0.757 0.029 0.805
Cl 0.757 0.471 0.305
CELL_PARAMETERS angstrom
7.830 0.000 0.000
0.000 9.097 0.000
-4.153 0.000 7.133